19
Lattice="-4.0863 3.6859 -2.3912 -2.8871 -5.1679 -0.9796 -1.5271 0.7113 5.7588" Properties=species:S:1:pos:R:3 comment="Li6AgF12 PBE optimized geometry" energy_ev_per_cell=-75.6 formation_energy_uncorrected_ev_per_atom=-2.045 pbc="T T T"
Li -5.0088 -2.4557 1.8907
Li -5.0161 0.9087 2.9508
Li -3.4844 -1.6794 -0.5628
Li -3.4917 1.6851 0.4973
Li -2.6232 -0.8760 2.7622
Li -5.8773 0.1053 -0.3742
F -4.7025 3.0173 -0.6439
F -5.4233 -1.7684 0.0923
F -3.0772 0.9977 2.2957
F -5.6460 -0.3627 -2.4408
F -3.8779 0.2356 -0.8006
F -4.6226 -1.0063 3.1886
F -4.3349 2.9015 3.2797
F -2.8545 -0.4079 4.8288
F -5.4339 1.3713 1.0678
F -3.0666 -2.1419 1.3203
F -4.1656 -3.6721 -0.8917
F -3.7980 -3.7880 3.0320
Ag 0.0000 0.0000 0.0000